Record 1
Here is crystalline Na5HfAs3 at its relaxed geometry from OQMD via LeMat-Bulk. Energies are from GGA-PBE.

The structure in POSCAR format:
```
Na5HfAs3
1.0
8.425 0.000 0.000
0.000 7.465 0.000
-8.302 0.000 13.777
Na Hf As
20 4 12
direct
0.002 0.164 0.081
0.002 0.336 0.581
0.082 0.008 0.762
0.082 0.492 0.262
0.261 0.512 0.093
0.261 0.988 0.593
0.320 0.656 0.743
0.320 0.844 0.243
0.403 0.028 0.085
0.403 0.472 0.585
0.597 0.528 0.415
0.597 0.972 0.915
0.680 0.156 0.757
0.680 0.344 0.257
0.739 0.012 0.407
0.739 0.488 0.907
0.918 0.508 0.738
0.918 0.992 0.238
0.998 0.664 0.419
0.998 0.836 0.919
0.339 0.143 0.414
0.339 0.357 0.914
0.661 0.643 0.086
0.661 0.857 0.586
0.054 0.243 0.917
0.054 0.257 0.417
0.340 0.710 0.930
0.340 0.790 0.430
0.353 0.238 0.264
0.353 0.262 0.764
0.647 0.738 0.236
0.647 0.762 0.736
0.660 0.210 0.570
0.660 0.290 0.070
0.946 0.743 0.583
0.946 0.757 0.083
```

* energy: -3.9744 eV per atom
* symmetry: No. 14
* total magnetization: 0.0 Bohr magnetons per cell

=====

Record 2
Here is crystalline GdHoB2P2Ir2 at its relaxed geometry from OQMD via LeMat-Bulk. Energies are from GGA-PBE.

The structure in POSCAR format:
```
GdHoB2P2Ir2
1.0
3.941 0.000 0.000
0.000 3.941 0.000
0.000 0.000 8.331
Gd Ho B P Ir
1 1 2 2 2
direct
0.000 0.000 0.000
0.500 0.500 0.390
0.000 0.000 0.583
0.500 0.500 0.811
0.000 0.000 0.344
0.500 0.500 0.051
0.000 0.500 0.695
0.500 0.000 0.695
```

* energy: -7.3452 eV per atom
* symmetry: No. 99
* total magnetization: 0.0 Bohr magnetons per cell

=====

Record 3
Here is crystalline Cu2TcNi at its relaxed geometry from OQMD via LeMat-Bulk. Energies are from GGA-PBE.

The structure in POSCAR format:
```
Cu2TcNi
1.0
0.000 2.915 2.915
2.915 0.000 2.915
2.915 2.915 0.000
Cu Tc Ni
2 1 1
direct
0.000 0.000 0.000
0.250 0.250 0.250
0.500 0.500 0.500
0.750 0.750 0.750
```

* energy: -5.5554 eV per atom
* symmetry: No. 216
* total magnetization: 0.9 Bohr magnetons per cell
* DFT formation energy: 0.2852 eV/atom

=====

Record 4
Here is crystalline Er3MgZn2PdPt2 at its relaxed geometry from OQMD via LeMat-Bulk. Energies are from GGA-PBE.

The structure in POSCAR format:
```
Er3MgZn2PdPt2
1.0
3.868 0.000 0.000
0.000 6.346 3.656
0.000 -6.346 3.656
Er Mg Zn Pd Pt
3 1 2 1 2
direct
0.000 0.000 0.000
0.000 0.193 0.621
0.000 0.621 0.193
0.500 0.366 0.366
0.500 0.601 0.855
0.500 0.855 0.601
0.000 0.615 0.615
0.500 0.276 0.950
0.500 0.950 0.276
```

* energy: -4.8171 eV per atom
* symmetry: No. 38
* total magnetization: 0.0 Bohr magnetons per cell

=====

What did the second record say?
Here is crystalline GdHoB2P2Ir2 at its relaxed geometry from OQMD via LeMat-Bulk. Energies are from GGA-PBE.

The structure in POSCAR format:
```
GdHoB2P2Ir2
1.0
3.941 0.000 0.000
0.000 3.941 0.000
0.000 0.000 8.331
Gd Ho B P Ir
1 1 2 2 2
direct
0.000 0.000 0.000
0.500 0.500 0.390
0.000 0.000 0.583
0.500 0.500 0.811
0.000 0.000 0.344
0.500 0.500 0.051
0.000 0.500 0.695
0.500 0.000 0.695
```

* energy: -7.3452 eV per atom
* symmetry: No. 99
* total magnetization: 0.0 Bohr magnetons per cell

=====

Which value of energy does entry 3 give?
-5.5554 eV per atom